Density functional theory data (GGA+U) for an optimized crystal structure of BaV2PO8.

Results
M_tot (Bohr magnetons per cell): 1.0
V (Å³/cell): 145
Calculated total energy (eV/atom): -6.91
ρ (g/cm³): 4.55
Space-group type: No. 164

a = 4.978 Å, b = 4.978 Å, c = 6.764 Å
α = 90.00°, β = 90.00°, γ = 120.00°
Last column: magnetic moment on the atom in μB.
Atoms (fractional coordinates):
Ba 0.000 0.000 0.500  0.00
V 0.667 0.333 0.083  0.81
V 0.333 0.667 0.917  0.81
P 0.000 0.000 0.000  0.01
O 0.836 0.672 0.863  -0.07
O 0.328 0.164 0.863  -0.07
O 0.836 0.164 0.863  -0.07
O 0.164 0.328 0.137  -0.07
O 0.672 0.836 0.137  -0.07
O 0.164 0.836 0.137  -0.07
O 0.667 0.333 0.333  -0.10
O 0.333 0.667 0.667  -0.10